No. 1
# GaHg2Te

A geometry-optimized GaHg2Te structure (PBE, Alexandria via LeMat-Bulk).

## Properties
**Fermi-level density of states**: 1.712 states/eV per cell
**Uncorrected formation energy**: 77 meV per atom

Cell lengths 5.338, 5.338, 5.338 Å; angles 60.00, 60.00, 60.00 degrees
Sites, in units of the cell vectors:
Hg: 0.750 0.750 0.750
Ga: 0.000 0.000 0.000
Hg: 0.250 0.250 0.250
Te: 0.500 0.500 0.500



No. 2
# GaHg2Te

A geometry-optimized GaHg2Te structure (PBE, Alexandria via LeMat-Bulk).

## Properties
**Fermi-level density of states**: 3.635 states/eV per cell
**Uncorrected formation energy**: 24 meV per atom

Cell lengths 8.094, 8.094, 6.576 Å; angles 52.02, 52.02, 90.00 degrees
Sites, in units of the cell vectors:
Hg: 0.875 0.858 0.750
Te: 0.000 0.000 0.000
Te: 0.750 0.250 0.500
Hg: 0.142 0.625 0.250
Hg: 0.608 0.125 0.250
Hg: 0.375 0.392 0.750
Ga: 0.500 0.500 0.000
Ga: 0.250 0.750 0.500